1.
5
Lattice="6.362 0.000 0.000 0.000 6.362 0.000 0.000 0.000 6.362" Properties=species:S:1:pos:R:3 comment="Ba3LaHg GGA-PBE relaxed" final_energy_ry_per_atom=-0.1505 dos_at_fermi_per_ev_atom=1.166 spacegroup="Pm-3m, No. 221" ef_mev_per_atom=151.9 pbc="T T T"
Ba 0.000 0.000 3.181
Ba 0.000 3.181 0.000
Ba 3.181 0.000 0.000
La 3.181 3.181 3.181
Hg 0.000 0.000 0.000

=====

2.
12
Lattice="1.984 1.145 8.378 -1.984 1.145 8.378 0.000 -2.291 8.378" Properties=species:S:1:pos:R:3 comment="YSnH8Ir2 GGA-PBE relaxed" final_energy_ry_per_atom=-0.3398 dos_at_fermi_per_ev_atom=0.303 spacegroup="R-3, No. 148" pbc="T T T"
Y 0.000 0.000 0.000
Sn 0.000 0.000 12.568
H -0.262 -1.158 10.439
H -1.134 -0.352 14.696
H -0.872 0.806 10.439
H 0.000 0.000 7.976
H 0.000 0.000 17.159
H 0.872 -0.806 14.696
H 1.134 0.352 10.439
H 0.262 1.158 14.696
Ir 0.000 0.000 6.320
Ir 0.000 0.000 18.815

=====

3.
10
Lattice="5.664 -2.300 0.000 5.664 2.300 0.000 -5.137 0.000 9.365" Properties=species:S:1:pos:R:3 comment="Ca2CdGe2 GGA-PBE relaxed" final_energy_ry_per_atom=-0.2462 dos_at_fermi_per_ev_atom=0.313 spacegroup="C2/m, No. 12" ef_mev_per_atom=-519.6 pbc="T T T"
Ca -0.858 0.000 1.700
Ca -1.041 0.000 5.620
Ca 7.231 0.000 3.745
Ca 7.048 0.000 7.665
Cd 2.509 0.000 1.304
Cd 3.681 0.000 8.061
Ge -0.551 0.000 8.670
Ge 2.214 0.000 5.688
Ge 3.977 0.000 3.677
Ge 6.741 0.000 0.696

=====

4.
16
Lattice="7.236 0.000 0.000 0.000 7.236 0.000 0.000 0.000 7.236" Properties=species:S:1:pos:R:3 comment="ZrScSb2 GGA-PBE relaxed" final_energy_ry_per_atom=-0.4320 formation_energy_uncorrected_kj_per_mol_atoms=-9.4 dos_at_fermi_per_ev_atom=1.112 spacegroup="F-43m, No. 216" pbc="T T T"
Zr 0.000 0.000 0.000
Zr 0.000 3.618 3.618
Zr 3.618 0.000 3.618
Zr 3.618 3.618 0.000
Sc 1.809 1.809 1.809
Sc 1.809 5.427 5.427
Sc 5.427 1.809 5.427
Sc 5.427 5.427 1.809
Sb 0.000 0.000 3.618
Sb 0.000 3.618 0.000
Sb 1.809 1.809 5.427
Sb 1.809 5.427 1.809
Sb 3.618 0.000 0.000
Sb 3.618 3.618 3.618
Sb 5.427 1.809 1.809
Sb 5.427 5.427 5.427

=====

5.
16
Lattice="8.080 0.000 0.000 0.000 8.080 0.000 0.000 0.000 7.732" Properties=species:S:1:pos:R:3 comment="Pr5Mg2Pb GGA-PBE relaxed" final_energy_ry_per_atom=-0.2945 dos_at_fermi_per_ev_atom=1.370 spacegroup="I4mm, No. 107" ef_mev_per_atom=-156.9 pbc="T T T"
Pr 0.000 0.000 0.000
Pr 2.021 2.021 1.928
Pr 2.019 2.019 5.794
Pr 2.021 6.059 1.928
Pr 2.019 6.061 5.794
Pr 4.040 4.040 3.866
Pr 6.059 2.021 1.928
Pr 6.061 2.019 5.794
Pr 6.059 6.059 1.928
Pr 6.061 6.061 5.794
Mg 0.000 4.040 7.730
Mg 0.000 4.040 3.863
Mg 4.040 0.000 7.730
Mg 4.040 0.000 3.863
Pb 0.000 0.000 3.858
Pb 4.040 4.040 7.724

=====

6.
8
Lattice="4.724 0.000 0.000 0.000 3.790 0.000 0.000 0.000 10.689" Properties=species:S:1:pos:R:3 comment="PmErPdAu GGA-PBE relaxed" final_energy_ry_per_atom=-0.3906 dos_at_fermi_per_ev_atom=0.526 spacegroup="Amm2, No. 38" ef_mev_per_atom=-869.1 pbc="T T T"
Pm 0.000 0.000 0.000
Pm 0.000 1.895 5.344
Er 2.362 0.000 7.737
Er 2.362 1.895 2.393
Pd 0.000 0.000 2.914
Pd 0.000 1.895 8.258
Au 2.362 0.000 4.739
Au 2.362 1.895 10.083

=====

7.
13
Lattice="7.482 0.000 0.000 -0.181 9.124 0.000 -2.631 -4.539 9.150" Properties=species:S:1:pos:R:3 comment="Rb2La3I8 GGA-PBE relaxed" final_energy_ry_per_atom=-0.2665 formation_energy_uncorrected_kj_per_mol_atoms=-133.8 dos_at_fermi_per_ev_atom=0.313 spacegroup="P-1, No. 2" pbc="T T T"
Rb -1.043 0.039 4.456
Rb 5.713 4.546 4.695
La -2.603 -1.975 9.146
La 3.650 4.562 0.000
La 7.272 6.560 0.004
I 1.253 0.004 1.692
I 1.204 4.620 2.253
I -0.215 2.316 7.207
I -0.087 -2.258 7.110
I 4.756 6.843 2.041
I 4.885 2.269 1.943
I 3.465 -0.035 6.897
I 3.417 4.581 7.459

=====

8.
18
Lattice="8.932 0.000 0.000 -4.466 7.735 0.000 0.000 0.000 6.317" Properties=species:S:1:pos:R:3 comment="Sc4Tl5 GGA-PBE relaxed" final_energy_ry_per_atom=-0.3175 dos_at_fermi_per_ev_atom=0.891 spacegroup="P6_3/mcm, No. 193" ef_mev_per_atom=-191.2 pbc="T T T"
Sc 0.000 0.000 0.000
Sc 0.000 0.000 3.158
Sc -1.646 2.851 1.579
Sc -2.820 4.884 4.738
Sc 3.292 0.000 1.579
Sc 1.646 2.851 4.738
Sc 5.640 0.000 4.738
Sc 2.820 4.884 1.579
Tl -1.314 2.276 4.738
Tl -3.152 5.459 1.579
Tl 2.628 0.000 4.738
Tl 1.314 2.276 1.579
Tl 0.000 5.157 0.000
Tl 0.000 5.157 3.158
Tl 4.466 2.578 0.000
Tl 4.466 2.578 3.158
Tl 6.304 0.000 1.579
Tl 3.152 5.459 4.738

=====

9.
5
Lattice="5.277 0.000 0.000 0.000 5.277 0.000 0.000 0.000 5.277" Properties=species:S:1:pos:R:3 comment="LiYP3 GGA-PBE relaxed" final_energy_ry_per_atom=-0.3349 dos_at_fermi_per_ev_atom=0.915 spacegroup="Pm-3m, No. 221" ef_mev_per_atom=364.6 pbc="T T T"
Li 0.000 0.000 0.000
Y 2.639 2.639 2.639
P 0.000 2.639 2.639
P 2.639 0.000 2.639
P 2.639 2.639 0.000

=====

10.
16
Lattice="6.617 -2.863 0.000 6.617 2.863 0.000 -0.101 0.000 14.010" Properties=species:S:1:pos:R:3 comment="La2Nd3Ir3 GGA-PBE relaxed" final_energy_ry_per_atom=-0.5044 dos_at_fermi_per_ev_atom=0.675 spacegroup="Cm, No. 8" ef_mev_per_atom=-520.4 pbc="T T T"
La 0.000 0.000 0.000
La -0.054 0.000 8.923
La 4.429 0.000 6.969
La 8.189 0.000 2.634
Nd 4.525 0.000 1.853
Nd 5.419 0.000 11.479
Nd 8.086 0.000 6.345
Nd 9.513 0.000 9.601
Nd 9.481 0.000 13.308
Nd 12.178 0.000 4.458
Ir 6.031 0.000 4.401
Ir 6.778 0.000 8.828
Ir 6.873 0.000 0.107
Ir 10.836 0.000 1.810
Ir 10.815 0.000 7.090
Ir 11.622 0.000 11.469

=====

11.
16
Lattice="4.673 0.000 0.000 0.000 4.673 0.000 0.000 0.000 17.754" Properties=species:S:1:pos:R:3 comment="SrCdNi2 GGA-PBE relaxed" final_energy_ry_per_atom=-0.2469 dos_at_fermi_per_ev_atom=0.536 spacegroup="I-42d, No. 122" ef_mev_per_atom=181.0 pbc="T T T"
Sr 0.000 0.000 0.000
Sr 0.000 2.337 4.438
Sr 2.337 0.000 13.315
Sr 2.337 2.337 8.877
Cd 0.000 0.000 8.877
Cd 0.000 2.337 13.315
Cd 2.337 0.000 4.438
Cd 2.337 2.337 0.000
Ni 0.211 1.168 11.096
Ni 1.168 2.548 15.534
Ni 1.168 4.462 6.658
Ni 2.125 1.168 2.219
Ni 2.548 3.505 2.219
Ni 3.505 0.211 6.658
Ni 3.505 2.125 15.534
Ni 4.462 3.505 11.096

=====

12.
8
Lattice="6.014 0.000 0.000 0.000 3.472 0.000 -0.324 0.000 6.912" Properties=species:S:1:pos:R:3 comment="BeS GGA-PBE relaxed" final_energy_ry_per_atom=-0.3601 formation_energy_uncorrected_kj_per_mol_atoms=-93.9 dos_at_fermi_per_ev_atom=0.000 spacegroup="C2/m, No. 12" pbc="T T T"
Be 0.841 0.000 2.662
Be 1.842 1.736 4.249
Be 3.848 1.736 2.662
Be 4.849 0.000 4.249
S 0.840 0.000 4.857
S 1.843 1.736 2.054
S 3.847 1.736 4.857
S 4.850 0.000 2.054

=====

Repeat the sixth record exactly.
8
Lattice="4.724 0.000 0.000 0.000 3.790 0.000 0.000 0.000 10.689" Properties=species:S:1:pos:R:3 comment="PmErPdAu GGA-PBE relaxed" final_energy_ry_per_atom=-0.3906 dos_at_fermi_per_ev_atom=0.526 spacegroup="Amm2, No. 38" ef_mev_per_atom=-869.1 pbc="T T T"
Pm 0.000 0.000 0.000
Pm 0.000 1.895 5.344
Er 2.362 0.000 7.737
Er 2.362 1.895 2.393
Pd 0.000 0.000 2.914
Pd 0.000 1.895 8.258
Au 2.362 0.000 4.739
Au 2.362 1.895 10.083